Record 1
! Sm2TlI (PBE, relaxed); values from VASP
&SYSTEM
  ibrav = 0, nat = 16, ntyp = 3
/
ATOMIC_SPECIES
Sm 150.36 Sm.upf
Tl 204.38 Tl.upf
I 126.90 I.upf
CELL_PARAMETERS angstrom
4.5130 -8.9625 0.0000
4.5130 8.9625 0.0000
-4.4153 0.0000 6.4026
ATOMIC_POSITIONS crystal
Sm 0.0535 0.4299 0.7356
Sm 0.1549 0.2812 0.2339
Sm 0.2812 0.1549 0.7339
Sm 0.4299 0.0535 0.2356
Sm 0.5701 0.9465 0.7644
Sm 0.7188 0.8451 0.2661
Sm 0.8451 0.7188 0.7661
Sm 0.9465 0.5701 0.2644
Tl 0.0685 0.9315 0.2500
Tl 0.1933 0.8067 0.7500
Tl 0.8067 0.1933 0.2500
Tl 0.9315 0.0685 0.7500
I 0.3180 0.6820 0.2500
I 0.4423 0.5577 0.7500
I 0.5577 0.4423 0.2500
I 0.6820 0.3180 0.7500
! Formation energy (no corrections), eV/atom: -0.593
! Symmetry: C2/c (15)
! Energy above the most stable polymorph in this dataset, meV/atom: 0

Record 2
! HoIr2Rh (PBE, relaxed); values from VASP
&SYSTEM
  ibrav = 0, nat = 4, ntyp = 3
/
ATOMIC_SPECIES
Ho 164.93 Ho.upf
Ir 192.22 Ir.upf
Rh 102.91 Rh.upf
CELL_PARAMETERS angstrom
3.9993 0.0000 0.0000
0.0000 3.9993 0.0000
0.0000 0.0000 4.1331
ATOMIC_POSITIONS crystal
Ho 0.0000 0.0000 0.0000
Ir 0.0000 0.5000 0.5000
Ir 0.5000 0.0000 0.5000
Rh 0.5000 0.5000 0.0000
! Symmetry: P4/mmm (123)
! Energy above the most stable polymorph in this dataset, meV/atom: 0
! ΔH_f (0 K), eV/atom: -0.475

Record 3
! TbSm4Eu (PBE, relaxed); values from VASP
&SYSTEM
  ibrav = 0, nat = 6, ntyp = 3
/
ATOMIC_SPECIES
Tb 158.93 Tb.upf
Sm 150.36 Sm.upf
Eu 151.96 Eu.upf
CELL_PARAMETERS angstrom
0.0000 4.7811 4.7811
4.7811 0.0000 4.7811
4.7811 4.7811 0.0000
ATOMIC_POSITIONS crystal
Tb 0.0000 0.0000 0.0000
Sm 0.1188 0.6271 0.6271
Sm 0.6271 0.1188 0.6271
Sm 0.6271 0.6271 0.1188
Sm 0.6271 0.6271 0.6271
Eu 0.2500 0.2500 0.2500
! Symmetry: F-43m (216)
! ΔH_f (0 K), eV/atom: 0.237

Record 4
! YHf2HgP (PBE, relaxed); values from VASP
&SYSTEM
  ibrav = 0, nat = 5, ntyp = 4
/
ATOMIC_SPECIES
Y 88.91 Y.upf
Hf 178.49 Hf.upf
Hg 200.59 Hg.upf
P 30.97 P.upf
CELL_PARAMETERS angstrom
5.2924 0.0000 0.0000
0.0000 5.2924 0.0000
0.0000 0.0000 5.0572
ATOMIC_POSITIONS crystal
Y 0.0000 0.0000 0.0000
Hf 0.0000 0.5000 0.0000
Hf 0.5000 0.0000 0.0000
Hg 0.5000 0.5000 0.5000
P 0.0000 0.0000 0.5000
! Symmetry: P4/mmm (123)
! ΔH_f (0 K), eV/atom: 1.237

no.,raw total energy (eV for the cell shown)
1,-62.902
2,-31.553
3,-32.360
4,-25.899